(1)
Computed, not measured: a relaxed structure of Pm6Nd2Er3 at the PBE-GGA level of DFT.

Cell: 5.2493 5.2514 15.9674 Å, 96.10 96.10 110.63°
Atoms (fractional coordinates):
Pm  0.2708  0.6130  0.8853
Pm  0.6130  0.2705  0.8851
Pm  0.7292  0.3870  0.1147
Pm  0.3870  0.7295  0.1149
Pm  0.7769  0.7771  0.5541
Pm  0.2231  0.2229  0.4459
Nd  0.1143  0.1146  0.2289
Nd  0.8857  0.8854  0.7711
Er  0.0000  0.0000  0.0000
Er  0.6660  0.6656  0.3313
Er  0.3340  0.3344  0.6687

DFT formation energy   9.4 kcal/mol of atoms
Offset from the most stable computed form   0.126 eV per atom


(2)
Computed, not measured: a relaxed structure of YSbPt2 at the PBE-GGA level of DFT.

Cell: 3.7048 3.6982 7.0408 Å, 58.27 90.00 90.00°
Atoms (fractional coordinates):
Pt  0.0000  0.9989  0.0010
Pt  0.0000  0.5011  0.4990
Sb  0.5000  0.2500  0.2500
Y  0.5000  0.7500  0.7500

Formation energy from raw total energies   -3.11 eV per formula unit